{"formula": "Nd3Dy4Y2", "functional": "PBE", "state": "relaxed", "total_magnetization_mub_per_fu": 0.00, "dft_energy_ev_per_atom": -5.05, "cell": [[5.9671, -1.7968, 0.0000], [5.9671, 1.7968, 0.0000], [-5.3917, 0.0000, 13.7872]], "species": ["Nd", "Nd", "Nd", "Dy", "Dy", "Dy", "Dy", "Y", "Y"], "frac_coords": [[0.0000, 0.0000, 0.0000], [0.1100, 0.1100, 0.4444], [0.8900, 0.8900, 0.5556], [0.2228, 0.2228, 0.8895], [0.3312, 0.3312, 0.3305], [0.6688, 0.6688, 0.6695], [0.7772, 0.7772, 0.1105], [0.4458, 0.4458, 0.7788], [0.5542, 0.5542, 0.2212]]}